An optimized crystal structure of ZrCdCu2. Source: OQMD, functional PBE.

```
data_ZrCdCu2
_cell_length_a 6.395
_cell_length_b 6.578
_cell_length_c 6.391
_cell_angle_alpha 90.00
_cell_angle_beta 90.00
_cell_angle_gamma 90.00
_space_group_name_H-M_alt 'P 1'
_space_group_IT_number 1
_space_group_name_Hall 'P 1'
loop_
_atom_site_label
_atom_site_type_symbol
_atom_site_fract_x
_atom_site_fract_y
_atom_site_fract_z
_atom_site_occupancy
Cu1 Cu 0.000 0.000 0.749 1
Cu2 Cu 0.500 0.500 0.249 1
Cu3 Cu 0.000 0.500 0.251 1
Cu4 Cu 0.500 0.000 0.249 1
Cu5 Cu 0.000 0.000 0.251 1
Cu6 Cu 0.500 0.500 0.751 1
Cu7 Cu 0.500 0.000 0.751 1
Cu8 Cu 0.000 0.500 0.749 1
Cd1 Cd 0.750 0.750 0.000 1
Cd2 Cd 0.750 0.750 0.500 1
Cd3 Cd 0.250 0.250 0.500 1
Cd4 Cd 0.250 0.250 0.000 1
Zr1 Zr 0.750 0.250 0.500 1
Zr2 Zr 0.250 0.750 0.000 1
Zr3 Zr 0.250 0.750 0.500 1
Zr4 Zr 0.750 0.250 0.000 1
```

Properties
- ΔE_f: 0.027 eV per atom

=====

An optimized crystal structure of ZrCdCu2. Source: OQMD, functional PBE.

```
data_ZrCdCu2
_cell_length_a 4.532
_cell_length_b 4.532
_cell_length_c 4.532
_cell_angle_alpha 60.00
_cell_angle_beta 60.00
_cell_angle_gamma 60.00
_space_group_name_H-M_alt 'P 1'
_space_group_IT_number 1
_space_group_name_Hall 'P 1'
loop_
_atom_site_label
_atom_site_type_symbol
_atom_site_fract_x
_atom_site_fract_y
_atom_site_fract_z
_atom_site_occupancy
Zr1 Zr 0.000 0.000 0.000 1
Cu1 Cu 0.500 0.500 0.500 1
Cu2 Cu 0.250 0.250 0.250 1
Cd1 Cd 0.750 0.750 0.750 1
```

Properties
- ΔE_f: 0.029 eV per atom

=====

An optimized crystal structure of ZrCdCu2. Source: OQMD, functional PBE.

```
data_ZrCdCu2
_cell_length_a 6.385
_cell_length_b 4.512
_cell_length_c 9.026
_cell_angle_alpha 90.00
_cell_angle_beta 90.00
_cell_angle_gamma 90.00
_space_group_name_H-M_alt 'P 1'
_space_group_IT_number 1
_space_group_name_Hall 'P 1'
loop_
_atom_site_label
_atom_site_type_symbol
_atom_site_fract_x
_atom_site_fract_y
_atom_site_fract_z
_atom_site_occupancy
Zr1 Zr 0.750 0.250 0.124 1
Zr2 Zr 0.250 0.750 0.876 1
Zr3 Zr 0.250 0.750 0.376 1
Zr4 Zr 0.750 0.250 0.624 1
Cu1 Cu 0.000 0.750 0.127 1
Cu2 Cu 0.000 0.250 0.873 1
Cu3 Cu 0.000 0.750 0.627 1
Cu4 Cu 0.500 0.750 0.127 1
Cu5 Cu 0.500 0.250 0.873 1
Cu6 Cu 0.500 0.750 0.627 1
Cu7 Cu 0.000 0.250 0.373 1
Cu8 Cu 0.500 0.250 0.373 1
Cd1 Cd 0.250 0.250 0.124 1
Cd2 Cd 0.750 0.750 0.876 1
Cd3 Cd 0.250 0.250 0.624 1
Cd4 Cd 0.750 0.750 0.376 1
```

Properties
- ΔE_f: -0.157 eV per atom

=====

An optimized crystal structure of ZrCdCu2. Source: OQMD, functional PBE.

```
data_ZrCdCu2
_cell_length_a 4.540
_cell_length_b 4.540
_cell_length_c 4.540
_cell_angle_alpha 60.00
_cell_angle_beta 60.00
_cell_angle_gamma 60.00
_space_group_name_H-M_alt 'P 1'
_space_group_IT_number 1
_space_group_name_Hall 'P 1'
loop_
_atom_site_label
_atom_site_type_symbol
_atom_site_fract_x
_atom_site_fract_y
_atom_site_fract_z
_atom_site_occupancy
Cd1 Cd 0.750 0.750 0.750 1
Zr1 Zr 0.500 0.500 0.500 1
Cu1 Cu 0.250 0.250 0.250 1
Cu2 Cu 0.000 0.000 0.000 1
```

Properties
- ΔE_f: 0.027 eV per atom

=====

An optimized crystal structure of DyCd. Source: OQMD, functional PBE.

```
data_DyCd
_cell_length_a 3.726
_cell_length_b 3.726
_cell_length_c 3.726
_cell_angle_alpha 90.00
_cell_angle_beta 90.00
_cell_angle_gamma 90.00
_space_group_name_H-M_alt 'P 1'
_space_group_IT_number 1
_space_group_name_Hall 'P 1'
loop_
_atom_site_label
_atom_site_type_symbol
_atom_site_fract_x
_atom_site_fract_y
_atom_site_fract_z
_atom_site_occupancy
Cd1 Cd 0.000 0.000 0.000 1
Dy1 Dy 0.500 0.500 0.500 1
```

Properties
- ΔE_f: -0.327 eV per atom

=====

An optimized crystal structure of DyCd. Source: OQMD, functional PBE.

```
data_DyCd
_cell_length_a 5.263
_cell_length_b 3.753
_cell_length_c 5.263
_cell_angle_alpha 90.00
_cell_angle_beta 90.00
_cell_angle_gamma 90.00
_space_group_name_H-M_alt 'P 1'
_space_group_IT_number 1
_space_group_name_Hall 'P 1'
loop_
_atom_site_label
_atom_site_type_symbol
_atom_site_fract_x
_atom_site_fract_y
_atom_site_fract_z
_atom_site_occupancy
Cd1 Cd 0.250 0.000 0.251 1
Cd2 Cd 0.750 0.000 0.749 1
Dy1 Dy 0.750 0.500 0.249 1
Dy2 Dy 0.250 0.500 0.751 1
```

Properties
- ΔE_f: -0.328 eV per atom

=====

An optimized crystal structure of DyCd. Source: OQMD, functional PBE.

```
data_DyCd
_cell_length_a 3.433
_cell_length_b 3.433
_cell_length_c 5.208
_cell_angle_alpha 90.00
_cell_angle_beta 90.00
_cell_angle_gamma 120.00
_space_group_name_H-M_alt 'P 1'
_space_group_IT_number 1
_space_group_name_Hall 'P 1'
loop_
_atom_site_label
_atom_site_type_symbol
_atom_site_fract_x
_atom_site_fract_y
_atom_site_fract_z
_atom_site_occupancy
Dy1 Dy 0.333 0.667 0.250 1
Cd1 Cd 0.667 0.333 0.750 1
```

Properties
- ΔE_f: -0.094 eV per atom

=====

An optimized crystal structure of DyCd12. Source: OQMD, functional PBE.

```
data_DyCd12
_cell_length_a 7.544
_cell_length_b 7.544
_cell_length_c 7.544
_cell_angle_alpha 98.41
_cell_angle_beta 98.41
_cell_angle_gamma 135.03
_space_group_name_H-M_alt 'P 1'
_space_group_IT_number 1
_space_group_name_Hall 'P 1'
loop_
_atom_site_label
_atom_site_type_symbol
_atom_site_fract_x
_atom_site_fract_y
_atom_site_fract_z
_atom_site_occupancy
Cd1 Cd 0.000 0.351 0.351 1
Cd2 Cd 0.290 0.500 0.790 1
Cd3 Cd 0.000 0.649 0.649 1
Cd4 Cd 0.710 0.500 0.210 1
Cd5 Cd 0.500 0.290 0.790 1
Cd6 Cd 0.649 0.000 0.649 1
Cd7 Cd 0.500 0.000 0.000 1
Cd8 Cd 0.000 0.000 0.500 1
Cd9 Cd 0.500 0.500 0.500 1
Cd10 Cd 0.000 0.500 0.000 1
Cd11 Cd 0.351 0.000 0.351 1
Cd12 Cd 0.500 0.710 0.210 1
Dy1 Dy 0.000 0.000 0.000 1
```

Properties
- ΔE_f: -0.068 eV per atom

=====

The calculation returns the following energy values, one per record and in order: -4.192; -4.191; -4.377; -4.192; -3.076; -3.077; -2.842; -1.249 eV/atom.
The calculation returns the following mass density values, one per record and in order: 8.2; 8.3; 8.4; 8.3; 8.8; 8.8; 8.6; 9.0 g/cm3.